a.
Compound: TaS2N2
Source: Alexandria
Functional: PBE
Structure: relaxed

Unit cell a=3.8004 b=3.8004 c=3.9960 alpha=90.00 beta=90.00 gamma=90.00
Closest atoms and distances in Å follow each position.
Positions (direct):
Ta (0.0000, 0.0000, 0.0000)  4 N 2.69, 8 S 2.76
S (0.0000, 0.5000, 0.5000)  2 N 1.90
S (0.5000, 0.0000, 0.5000)  2 N 1.90
N (0.5000, 0.5000, 0.0000)  2 N 2.00
N (0.5000, 0.5000, 0.5000)  4 S 1.90, 2 N 2.00

Summary:
symmetry = No. 123
spin magnetization = 0.0 μB per formula unit
theoretical density = 7.86 g cm⁻³

b.
Compound: TaS2N2
Source: Alexandria
Functional: PBE
Structure: relaxed

Unit cell a=3.9344 b=3.9344 c=5.3105 alpha=90.00 beta=90.00 gamma=90.00
Closest atoms and distances in Å follow each position.
Positions (direct):
Ta (0.0000, 0.0000, 0.0000)  4 N 1.97
S (0.0000, 0.0000, 0.5000)  2 Ta 2.66, 4 S 2.78
S (0.5000, 0.5000, 0.5000)  4 S 2.78
N (0.0000, 0.5000, 0.0000)  2 Ta 1.97
N (0.5000, 0.0000, 0.0000)  2 Ta 1.97

Summary:
symmetry = No. 123
spin magnetization = 0.7 μB per formula unit
theoretical density = 5.52 g cm⁻³

c.
Compound: TaS2N2
Source: Alexandria
Functional: PBE
Structure: relaxed

Unit cell a=4.8433 b=4.8433 c=4.0218 alpha=90.00 beta=90.00 gamma=90.00
Closest atoms and distances in Å follow each position.
Positions (direct):
Ta (0.0000, 0.0000, 0.0000)  2 N 2.01
S (0.0000, 0.5000, 0.0000)  2 Ta 2.42
S (0.5000, 0.0000, 0.0000)  2 Ta 2.42
N (0.0000, 0.0000, 0.5000)  2 Ta 2.01
N (0.5000, 0.5000, 0.5000)  8 S 3.15, 4 N 3.42

Summary:
symmetry = No. 123
spin magnetization = 2.9 μB per formula unit
theoretical density = 4.81 g cm⁻³

Quick one: least stable of them? a